<1>
First-principles (GGA-PBE) data for an optimized crystal structure of Er4TmSc3, as listed in Alexandria.

Structure (CIF):
```
data_Er4TmSc3
_chemical_formula_sum 'Er4 Tm1 Sc3'
_cell_length_a 5.8811
_cell_length_b 5.9220
_cell_length_c 6.8470
_cell_angle_alpha 90.08
_cell_angle_beta 90.03
_cell_angle_gamma 109.65
_symmetry_space_group_name_H-M 'P 1'
_symmetry_Int_Tables_number 1
loop_
_symmetry_equiv_pos_as_xyz
'x,y,z'
loop_
_atom_site_label
_atom_site_type_symbol
_atom_site_fract_x
_atom_site_fract_y
_atom_site_fract_z
Er1 Er 0.0000 0.0000 0.0000
Er2 Er 0.0000 0.0000 0.5000
Er3 Er 0.9998 0.4999 0.2476
Er4 Er 0.0002 0.5001 0.7524
Tm1 Tm 0.5000 0.5000 0.5000
Sc1 Sc 0.4998 0.9998 0.2467
Sc2 Sc 0.5002 0.0002 0.7533
Sc3 Sc 0.5000 0.5000 0.0000
```

* volume: 28.07 A^3/atom

***

<2>
First-principles (GGA-PBE) data for an optimized crystal structure of Er4TmSc3, as listed in Alexandria.

Structure (CIF):
```
data_Er4TmSc3
_chemical_formula_sum 'Er8 Tm2 Sc6'
_cell_length_a 10.8022
_cell_length_b 6.9728
_cell_length_c 6.0165
_cell_angle_alpha 90.00
_cell_angle_beta 90.00
_cell_angle_gamma 90.00
_symmetry_space_group_name_H-M 'P 1'
_symmetry_Int_Tables_number 1
loop_
_symmetry_equiv_pos_as_xyz
'x,y,z'
loop_
_atom_site_label
_atom_site_type_symbol
_atom_site_fract_x
_atom_site_fract_y
_atom_site_fract_z
Er1 Er 0.0000 0.1224 0.0000
Er2 Er 0.0000 0.6273 0.9928
Er3 Er 0.2505 0.3737 0.8288
Er4 Er 0.2495 0.6263 0.3288
Er5 Er 0.5000 0.3727 0.4928
Er6 Er 0.5000 0.8776 0.5000
Er7 Er 0.7495 0.3737 0.8288
Er8 Er 0.7505 0.6263 0.3288
Tm1 Tm 0.0000 0.8784 0.5031
Tm2 Tm 0.5000 0.1216 0.0031
Sc1 Sc 0.0000 0.3722 0.4928
Sc2 Sc 0.2467 0.1242 0.3336
Sc3 Sc 0.2533 0.8758 0.8336
Sc4 Sc 0.5000 0.6278 0.9928
Sc5 Sc 0.7467 0.8758 0.8336
Sc6 Sc 0.7533 0.1242 0.3336
```

* volume: 28.32 A^3/atom

***

Least stable = <1>

***

<1>
First-principles (GGA-PBE) data for an optimized crystal structure of Er5Tm2Sc5, as listed in Alexandria.

Structure (CIF):
```
data_Er5Tm2Sc5
_chemical_formula_sum 'Er5 Tm2 Sc5'
_cell_length_a 8.4302
_cell_length_b 8.4302
_cell_length_c 9.3357
_cell_angle_alpha 121.20
_cell_angle_beta 121.20
_cell_angle_gamma 37.24
_symmetry_space_group_name_H-M 'P 1'
_symmetry_Int_Tables_number 1
loop_
_symmetry_equiv_pos_as_xyz
'x,y,z'
loop_
_atom_site_label
_atom_site_type_symbol
_atom_site_fract_x
_atom_site_fract_y
_atom_site_fract_z
Er1 Er 0.0000 0.0000 0.0000
Er2 Er 0.1797 0.1797 0.8598
Er3 Er 0.2650 0.2650 0.3008
Er4 Er 0.7350 0.7350 0.6992
Er5 Er 0.8203 0.8203 0.1402
Tm1 Tm 0.0920 0.0920 0.4253
Tm2 Tm 0.9080 0.9080 0.5747
Sc1 Sc 0.3476 0.3476 0.7240
Sc2 Sc 0.4303 0.4303 0.1267
Sc3 Sc 0.5000 0.5000 0.5000
Sc4 Sc 0.5697 0.5697 0.8733
Sc5 Sc 0.6524 0.6524 0.2760
```

* volume: 28.02 A^3/atom

***

<2>
First-principles (GGA-PBE) data for an optimized crystal structure of Er5Tm2Sc5, as listed in Alexandria.

Structure (CIF):
```
data_Er5Tm2Sc5
_chemical_formula_sum 'Er5 Tm2 Sc5'
_cell_length_a 7.5977
_cell_length_b 7.5977
_cell_length_c 10.7771
_cell_angle_alpha 115.05
_cell_angle_beta 115.05
_cell_angle_gamma 36.82
_symmetry_space_group_name_H-M 'P 1'
_symmetry_Int_Tables_number 1
loop_
_symmetry_equiv_pos_as_xyz
'x,y,z'
loop_
_atom_site_label
_atom_site_type_symbol
_atom_site_fract_x
_atom_site_fract_y
_atom_site_fract_z
Er1 Er 0.0000 0.0000 0.0000
Er2 Er 0.0871 0.0871 0.7520
Er3 Er 0.1649 0.1649 0.4995
Er4 Er 0.8351 0.8351 0.5005
Er5 Er 0.9129 0.9129 0.2480
Tm1 Tm 0.4165 0.4165 0.7534
Tm2 Tm 0.5835 0.5835 0.2466
Sc1 Sc 0.2500 0.2500 0.2466
Sc2 Sc 0.3295 0.3295 0.9986
Sc3 Sc 0.5000 0.5000 0.5000
Sc4 Sc 0.6705 0.6705 0.0014
Sc5 Sc 0.7500 0.7500 0.7534
```

* volume: 27.81 A^3/atom

***

Least stable = <1>

***

<1>
First-principles (GGA-PBE) data for an optimized crystal structure of ErTm4Sc5, as listed in Alexandria.

Structure (CIF):
```
data_ErTm4Sc5
_chemical_formula_sum 'Er1 Tm4 Sc5'
_cell_length_a 7.7879
_cell_length_b 7.7879
_cell_length_c 9.6610
_cell_angle_alpha 126.81
_cell_angle_beta 126.81
_cell_angle_gamma 39.64
_symmetry_space_group_name_H-M 'P 1'
_symmetry_Int_Tables_number 1
loop_
_symmetry_equiv_pos_as_xyz
'x,y,z'
loop_
_atom_site_label
_atom_site_type_symbol
_atom_site_fract_x
_atom_site_fract_y
_atom_site_fract_z
Er1 Er 0.0000 0.0000 0.0000
Tm1 Tm 0.2476 0.2476 0.8662
Tm2 Tm 0.2532 0.2532 0.3759
Tm3 Tm 0.7468 0.7468 0.6241
Tm4 Tm 0.7524 0.7524 0.1338
Sc1 Sc 0.0514 0.0514 0.4000
Sc2 Sc 0.4510 0.4510 0.7917
Sc3 Sc 0.5000 0.5000 0.5000
Sc4 Sc 0.5490 0.5490 0.2083
Sc5 Sc 0.9486 0.9486 0.6000
```

* volume: 28.82 A^3/atom

***

<2>
First-principles (GGA-PBE) data for an optimized crystal structure of ErTm4Sc5, as listed in Alexandria.

Structure (CIF):
```
data_ErTm4Sc5
_chemical_formula_sum 'Er1 Tm4 Sc5'
_cell_length_a 7.4593
_cell_length_b 7.4593
_cell_length_c 7.4593
_cell_angle_alpha 99.36
_cell_angle_beta 99.36
_cell_angle_gamma 132.44
_symmetry_space_group_name_H-M 'P 1'
_symmetry_Int_Tables_number 1
loop_
_symmetry_equiv_pos_as_xyz
'x,y,z'
loop_
_atom_site_label
_atom_site_type_symbol
_atom_site_fract_x
_atom_site_fract_y
_atom_site_fract_z
Er1 Er 0.0000 0.0000 0.0000
Tm1 Tm 0.1763 0.8822 0.6099
Tm2 Tm 0.2723 0.5664 0.3901
Tm3 Tm 0.5664 0.1763 0.2940
Tm4 Tm 0.8822 0.2723 0.7060
Sc1 Sc 0.4626 0.4626 0.0000
Sc2 Sc 0.4904 0.8618 0.9148
Sc3 Sc 0.5756 0.4904 0.6286
Sc4 Sc 0.8618 0.9470 0.3714
Sc5 Sc 0.9470 0.5756 0.0852
```

* volume: 28.03 A^3/atom

***

Least stable = <2>

***

<1>
First-principles (GGA-PBE) data for an optimized crystal structure of Er8TmSc2, as listed in Alexandria.

Structure (CIF):
```
data_Er8TmSc2
_chemical_formula_sum 'Er8 Tm1 Sc2'
_cell_length_a 9.0574
_cell_length_b 9.0574
_cell_length_c 6.3505
_cell_angle_alpha 108.72
_cell_angle_beta 108.72
_cell_angle_gamma 42.55
_symmetry_space_group_name_H-M 'P 1'
_symmetry_Int_Tables_number 1
loop_
_symmetry_equiv_pos_as_xyz
'x,y,z'
loop_
_atom_site_label
_atom_site_type_symbol
_atom_site_fract_x
_atom_site_fract_y
_atom_site_fract_z
Er1 Er 0.0657 0.0657 0.2432
Er2 Er 0.1564 0.6386 0.3008
Er3 Er 0.2893 0.2893 0.6730
Er4 Er 0.3614 0.8436 0.6992
Er5 Er 0.6386 0.1564 0.3008
Er6 Er 0.7107 0.7107 0.3270
Er7 Er 0.8436 0.3614 0.6992
Er8 Er 0.9343 0.9343 0.7568
Tm1 Tm 0.5000 0.5000 0.0000
Sc1 Sc 0.2225 0.2225 0.1035
Sc2 Sc 0.7775 0.7775 0.8965
```

* volume: 30.07 A^3/atom

***

<2>
First-principles (GGA-PBE) data for an optimized crystal structure of Er8TmSc2, as listed in Alexandria.

Structure (CIF):
```
data_Er8TmSc2
_chemical_formula_sum 'Er8 Tm1 Sc2'
_cell_length_a 9.1526
_cell_length_b 9.1526
_cell_length_c 5.7529
_cell_angle_alpha 106.43
_cell_angle_beta 106.43
_cell_angle_gamma 122.26
_symmetry_space_group_name_H-M 'P 1'
_symmetry_Int_Tables_number 1
loop_
_symmetry_equiv_pos_as_xyz
'x,y,z'
loop_
_atom_site_label
_atom_site_type_symbol
_atom_site_fract_x
_atom_site_fract_y
_atom_site_fract_z
Er1 Er 0.0964 0.3459 0.6910
Er2 Er 0.2054 0.7946 0.0000
Er3 Er 0.3459 0.0964 0.6910
Er4 Er 0.4440 0.4440 0.2131
Er5 Er 0.5560 0.5560 0.7869
Er6 Er 0.6541 0.9036 0.3090
Er7 Er 0.7946 0.2054 0.0000
Er8 Er 0.9036 0.6541 0.3090
Tm1 Tm 0.0000 0.0000 0.0000
Sc1 Sc 0.3108 0.6892 0.5000
Sc2 Sc 0.6892 0.3108 0.5000
```

* volume: 30.03 A^3/atom

***

Least stable = <1>